Computed, not measured: crystalline TlGaOsC2 at its relaxed geometry at the PBE-GGA level of DFT.

DFT formation energy   2.66 eV/atom
Volume   83 Å³/f.u.
Total magnetization   0.0 μB per formula unit

abc: 3.918 3.918 5.419
angles: 90.00 90.00 90.00
Space group P4/mmm (No. 123)
Symmetry-distinct sites (fractional):
Tl 0.000 0.000 0.000 (multiplicity 1)
Ga 0.000 0.000 0.500 (multiplicity 1)
Os 0.500 0.500 0.000 (multiplicity 1)
C 0.000 0.500 0.500 (multiplicity 2)



Computed, not measured: crystalline VGaOs2C at its relaxed geometry at the PBE-GGA level of DFT.

DFT formation energy   0.60 eV/atom
Volume   68 Å³/f.u.
Total magnetization   0.0 μB per formula unit

abc: 3.968 3.968 4.347
angles: 90.00 90.00 90.00
Space group P4/mmm (No. 123)
Symmetry-distinct sites (fractional):
V 0.000 0.000 0.000 (multiplicity 1)
Ga 0.500 0.500 0.000 (multiplicity 1)
Os 0.000 0.500 0.500 (multiplicity 2)
C 0.500 0.500 0.500 (multiplicity 1)



Computed, not measured: crystalline Y2GaOsC at its relaxed geometry at the PBE-GGA level of DFT.

DFT formation energy   -0.44 eV/atom
Volume   96 Å³/f.u.
Total magnetization   0.0 μB per formula unit

abc: 4.962 4.962 3.911
angles: 90.00 90.00 90.00
Space group P4/mmm (No. 123)
Symmetry-distinct sites (fractional):
Y 0.000 0.500 0.000 (multiplicity 2)
Ga 0.000 0.000 0.500 (multiplicity 1)
Os 0.500 0.500 0.500 (multiplicity 1)
C 0.500 0.500 0.000 (multiplicity 1)



Computed, not measured: crystalline ZnGa2OsC at its relaxed geometry at the PBE-GGA level of DFT.

DFT formation energy   1.54 eV/atom
Volume   111 Å³/f.u.
Total magnetization   2.0 μB per formula unit

abc: 4.770 4.770 4.872
angles: 90.00 90.00 90.00
Space group P4/mmm (No. 123)
Symmetry-distinct sites (fractional):
Zn 0.000 0.000 0.000 (multiplicity 1)
Ga 0.000 0.500 0.500 (multiplicity 2)
Os 0.000 0.000 0.500 (multiplicity 1)
C 0.500 0.500 0.000 (multiplicity 1)



Computed, not measured: crystalline ZnGaOsC2 at its relaxed geometry at the PBE-GGA level of DFT.

DFT formation energy   2.36 eV/atom
Volume   72 Å³/f.u.
Total magnetization   0.6 μB per formula unit

abc: 3.777 3.777 5.077
angles: 90.00 90.00 90.00
Space group P4/mmm (No. 123)
Symmetry-distinct sites (fractional):
Zn 0.000 0.000 0.000 (multiplicity 1)
Ga 0.500 0.500 0.500 (multiplicity 1)
Os 0.000 0.000 0.500 (multiplicity 1)
C 0.000 0.500 0.000 (multiplicity 2)



Computed, not measured: crystalline GaP2C at its relaxed geometry at the PBE-GGA level of DFT.

DFT formation energy   1.56 eV/atom
Volume   54 Å³/f.u.
Offset from the most stable computed form   1107.0 meV per atom
Total magnetization   0.0 μB per formula unit

abc: 5.988 5.988 5.988
angles: 90.00 90.00 90.00
Space group Fm-3m (No. 225)
Symmetry-distinct sites (fractional):
Ga 0.000 0.000 0.000 (multiplicity 4)
P 0.250 0.250 0.250 (multiplicity 8)
C 0.000 0.000 0.500 (multiplicity 4)